Here is a relaxed structure of Re3As from Alexandria. Energies are from GGA-PBE.

Structure (CIF):
```
data_Re3As
_symmetry_space_group_name_H-M 'P 1'
_symmetry_Int_Tables_number 1
_cell_length_a 9.368
_cell_length_b 2.928
_cell_length_c 4.484
_cell_angle_alpha 90.00
_cell_angle_beta 94.73
_cell_angle_gamma 90.00
loop_
_symmetry_equiv_pos_as_xyz
'x,y,z'
loop_
_atom_site_label
_atom_site_type_symbol
_atom_site_fract_x
_atom_site_fract_y
_atom_site_fract_z
Re1 Re 0.000 0.000 0.000
Re2 Re 0.231 0.500 0.235
Re3 Re 0.269 0.000 0.765
Re4 Re 0.500 0.500 0.000
Re5 Re 0.731 0.000 0.235
Re6 Re 0.769 0.500 0.765
As1 As 0.000 0.500 0.500
As2 As 0.500 0.000 0.500
```

formation energy from the elements = 137 kJ/mol of formula units
energy above the lowest structure with this stoichiometry = 76 kJ/mol of formula units
mass density = 17.168 Mg/m³
magnetic moment = 0.0 μB per formula unit